Entry 1:
Density functional theory data (PBE-GGA) for ZnH6C2O6 after structural relaxation.

Geometry as POSCAR:
```
ZnH6C2O6
1.0
7.197 0.000 0.000
0.000 8.785 -0.014
0.000 -1.234 9.347
O H C Zn
24 24 8 4
direct
0.373 0.412 0.808 O
0.159 0.790 0.007 O
0.401 0.101 0.706 O
0.099 0.101 0.206 O
0.734 0.911 0.595 O
0.659 0.210 0.493 O
0.484 0.280 0.068 O
0.234 0.089 0.905 O
0.627 0.588 0.192 O
0.599 0.899 0.294 O
0.766 0.911 0.095 O
0.873 0.588 0.692 O
0.516 0.720 0.932 O
0.266 0.089 0.405 O
0.841 0.210 0.993 O
0.984 0.720 0.432 O
0.718 0.435 0.410 O
0.901 0.899 0.794 O
0.016 0.280 0.568 O
0.282 0.565 0.590 O
0.218 0.565 0.090 O
0.341 0.790 0.507 O
0.127 0.412 0.308 O
0.782 0.435 0.910 O
0.606 0.787 0.991 H
0.611 0.237 0.043 H
0.111 0.763 0.457 H
0.211 0.933 0.725 H
0.654 0.529 0.273 H
0.106 0.213 0.509 H
0.894 0.787 0.491 H
0.601 0.696 0.232 H
0.711 0.067 0.775 H
0.899 0.696 0.732 H
0.972 0.678 0.119 H
0.889 0.237 0.543 H
0.846 0.529 0.773 H
0.346 0.471 0.727 H
0.789 0.067 0.275 H
0.028 0.322 0.881 H
0.394 0.213 0.009 H
0.389 0.763 0.957 H
0.528 0.678 0.619 H
0.101 0.304 0.268 H
0.472 0.322 0.381 H
0.154 0.471 0.227 H
0.289 0.933 0.225 H
0.399 0.304 0.768 H
0.887 0.322 0.927 C
0.280 0.038 0.777 C
0.387 0.678 0.573 C
0.720 0.962 0.223 C
0.613 0.322 0.427 C
0.113 0.678 0.073 C
0.780 0.962 0.723 C
0.220 0.038 0.277 C
0.500 0.000 0.500 Zn
0.000 0.000 0.000 Zn
0.500 0.500 0.000 Zn
0.000 0.500 0.500 Zn
```

Properties
N(E_F) (states/eV/f.u.): 0.000
SG: P2_1/c, No. 14
Calculated volume (Å³/atom): 9.8
VASP energy (eV per atom): -5.673

***

Entry 2:
Density functional theory data (PBE-GGA) for ZnH4C2O6 after structural relaxation.

Geometry as POSCAR:
```
ZnH4C2O6
1.0
6.915 0.089 0.019
4.646 5.122 0.019
5.644 2.544 7.699
O C H Zn
12 4 8 2
direct
0.379 0.799 0.073 O
0.791 0.027 0.427 O
0.201 0.621 0.427 O
0.973 0.209 0.073 O
0.209 0.973 0.573 O
0.799 0.379 0.573 O
0.027 0.791 0.927 O
0.621 0.201 0.927 O
0.733 0.594 0.257 O
0.406 0.267 0.243 O
0.594 0.733 0.757 O
0.267 0.406 0.743 O
0.138 0.965 0.148 C
0.965 0.138 0.648 C
0.862 0.035 0.852 C
0.035 0.862 0.352 C
0.201 0.498 0.644 H
0.355 0.136 0.352 H
0.502 0.799 0.856 H
0.799 0.502 0.356 H
0.864 0.645 0.148 H
0.136 0.355 0.852 H
0.498 0.201 0.144 H
0.645 0.864 0.648 H
0.585 0.415 0.250 Zn
0.415 0.585 0.750 Zn
```

Properties
N(E_F) (states/eV/f.u.): 0.000
SG: C2/c, No. 15
Calculated volume (Å³/atom): 10.3
VASP energy (eV per atom): -5.996

***

Entry 3:
Density functional theory data (PBE-GGA) for Zr4HC2O after structural relaxation.

Geometry as POSCAR:
```
Zr4HC2O
1.0
3.322 0.000 0.000
0.000 5.672 -0.065
0.000 2.037 5.414
Zr O C H
4 1 2 1
direct
0.000 0.766 0.748 Zr
0.500 0.761 0.242 Zr
0.000 0.234 0.252 Zr
0.500 0.239 0.758 Zr
0.500 0.500 0.000 O
0.500 0.000 0.500 C
0.000 0.000 0.000 C
0.000 0.500 0.500 H
```

Properties
N(E_F) (states/eV/f.u.): 2.943
SG: P2/m, No. 10
Calculated volume (Å³/atom): 12.8
VASP energy (eV per atom): -8.843